No. 1
The following is a DFT calculation (GGA+U) of YCr2O2 after structural relaxation.

The total energy is -295.72 eV for the cell shown. The density of states at the Fermi level comes out at 10.085 states/eV/cell. For the magnetization, the calculation gives 77.2 Bohr magnetons per cell.

It has space group I4_1/amd (No. 141, origin choice 2), with a = 6.1753 Å, b = 6.1753 Å, c = 17.6982 Å, α = 90.00°, β = 90.00° and γ = 90.00°. The asymmetric unit holds Y at (0.0000, 0.0000, 0.0000), Cr at (0.0000, 0.0183, 0.5763) and O at (0.0000, 0.0104, 0.6968).

No. 2
The following is a DFT calculation (GGA+U) of YCr3O9 after structural relaxation.

The total energy is -93.89 eV for the cell shown. The density of states at the Fermi level comes out at 4.060 states/eV/cell. For the magnetization, the calculation gives 3.0 Bohr magnetons per cell.

It has space group P4/mmm (No. 123), with a = 3.7091 Å, b = 3.7091 Å, c = 11.4286 Å, α = 90.00°, β = 90.00° and γ = 90.00°. The asymmetric unit holds Y at (0.0000, 0.0000, 0.0000), Cr at (0.5000, 0.5000, 0.1812), Cr at (0.5000, 0.5000, 0.5000), O at (0.0000, 0.5000, 0.1441), O at (0.0000, 0.5000, 0.5000), O at (0.5000, 0.5000, 0.0000) and O at (0.5000, 0.5000, 0.3254).

No. 3
The following is a DFT calculation (GGA+U) of YCrO3 after structural relaxation.

The total energy is -35.38 eV for the cell shown. The density of states at the Fermi level comes out at 7.376 states/eV/cell. For the magnetization, the calculation gives 3.0 Bohr magnetons per cell.

It has space group Pm-3m (No. 221), with a = 4.3092 Å, b = 4.3092 Å, c = 4.3092 Å, α = 90.00°, β = 90.00° and γ = 90.00°. The asymmetric unit holds Y at (0.0000, 0.0000, 0.0000), Cr at (0.5000, 0.5000, 0.5000) and O at (0.0000, 0.0000, 0.5000).

No. 4
The following is a DFT calculation (GGA+U) of YCr2O8 after structural relaxation.

The total energy is -146.70 eV for the cell shown. The density of states at the Fermi level comes out at 5.577 states/eV/cell. For the magnetization, the calculation gives 0.8 Bohr magnetons per cell.

It has space group I4/mmm (No. 139), with a = 4.6895 Å, b = 4.6895 Å, c = 11.4244 Å, α = 90.00°, β = 90.00° and γ = 90.00°. The asymmetric unit holds Y at (0.0000, 0.0000, 0.0000), Cr at (0.0000, 0.5000, 0.2500) and O at (0.2497, 0.2497, 0.1451).

No. 5
The following is a DFT calculation (GGA+U) of YCrO3 after structural relaxation.

The total energy is -83.53 eV for the cell shown. The density of states at the Fermi level comes out at 2.292 states/eV/cell. For the magnetization, the calculation gives 6.0 Bohr magnetons per cell.

It has space group P6_3/mmc (No. 194), with a = 3.5225 Å, b = 3.5225 Å, c = 12.0915 Å, α = 90.00°, β = 90.00° and γ = 120.00°. The asymmetric unit holds Y at (0.0000, 0.0000, 0.0000), Cr at (0.3333, 0.6667, 0.2500), O at (0.0000, 0.0000, 0.2500) and O at (0.3333, 0.6667, 0.0867).

No. 6
The following is a DFT calculation (GGA+U) of YCrO3 after structural relaxation.

The total energy is -340.31 eV for the cell shown. The density of states at the Fermi level comes out at 0.000 states/eV/cell. For the magnetization, the calculation gives 24.0 Bohr magnetons per cell.

It has space group C2/c (No. 15), with a = 9.5825 Å, b = 5.4802 Å, c = 9.4258 Å, α = 90.00°, β = 110.41° and γ = 90.00°. The asymmetric unit holds Y at (0.1394, 0.2024, 0.1362), Cr at (0.0000, 0.2702, 0.7500), Cr at (0.2500, 0.2500, 0.5000), O at (0.0690, 0.2316, 0.5681), O at (0.1509, 0.4698, 0.3282) and O at (0.1662, 0.0320, 0.8574).

No. 7
The following is a DFT calculation (GGA+U) of YCrO2 after structural relaxation.

The total energy is -258.88 eV for the cell shown. The density of states at the Fermi level comes out at 9.588 states/eV/cell. For the magnetization, the calculation gives 26.6 Bohr magnetons per cell.

It has space group I4_1/amd (No. 141, origin choice 2), with a = 6.1341 Å, b = 6.1341 Å, c = 11.7619 Å, α = 90.00°, β = 90.00° and γ = 90.00°. The asymmetric unit holds Y at (0.0000, 0.0000, 0.0000), Cr at (0.0000, 0.0000, 0.5000) and O at (0.0000, 0.0283, 0.2029).

No. 8
The following is a DFT calculation (GGA+U) of Y2Cr3O9 after structural relaxation.

The total energy is -110.26 eV for the cell shown. The density of states at the Fermi level comes out at 3.363 states/eV/cell. For the magnetization, the calculation gives 6.0 Bohr magnetons per cell.

It has space group P4/mmm (No. 123), with a = 3.7840 Å, b = 3.7840 Å, c = 11.5352 Å, α = 90.00°, β = 90.00° and γ = 90.00°. The asymmetric unit holds Y at (0.0000, 0.0000, 0.1901), Cr at (0.5000, 0.5000, 0.0000), Cr at (0.5000, 0.5000, 0.3470), O at (0.0000, 0.5000, 0.0000), O at (0.0000, 0.5000, 0.3137), O at (0.5000, 0.5000, 0.1676) and O at (0.5000, 0.5000, 0.5000).

Question: Number 1 is which compound?
Answer: YCr2O2

Question: What is the formula in the fourth record?
Answer: YCr2O8